1.
Crystalline AlOsSe4 at its relaxed geometry. Source: Alexandria, functional PBE.

The structure in POSCAR format:
```
AlOsSe4
1.0
0.000 3.917 3.917
3.917 0.000 3.917
3.917 3.917 0.000
Al Os Se
1 1 4
direct
0.000 0.000 0.000
0.750 0.750 0.750
0.377 0.377 0.377
0.377 0.377 0.870
0.377 0.870 0.377
0.870 0.377 0.377
```

Computed properties:
- Energy relative to the elements, uncorrected: 744 kJ/mol of formula units
- Spin magnetization: 0.2444 μB per atom
- Space group: F-43m, No. 216

2.
Crystalline AlOsSe at its relaxed geometry. Source: Alexandria, functional PBE.

The structure in POSCAR format:
```
AlOsSe
1.0
0.000 2.989 2.989
2.989 0.000 2.989
2.989 2.989 0.000
Al Os Se
1 1 1
direct
0.000 0.000 0.000
0.750 0.750 0.750
0.250 0.250 0.250
```

Computed properties:
- Energy relative to the elements, uncorrected: 187 kJ/mol of formula units
- Spin magnetization: 0.0408 μB per atom
- Space group: F-43m, No. 216

3.
Crystalline AlOsSe2 at its relaxed geometry. Source: Alexandria, functional PBE.

The structure in POSCAR format:
```
AlOsSe2
1.0
4.915 0.000 0.000
0.000 3.793 0.000
-2.448 0.000 4.472
Al Os Se
1 1 2
direct
0.000 0.000 0.000
0.500 0.000 0.000
0.320 0.500 0.640
0.680 0.500 0.360
```

Computed properties:
- Energy relative to the elements, uncorrected: 31 kJ/mol of formula units
- Spin magnetization: 0.0000 μB per atom
- Space group: P2/m, No. 10

4.
Crystalline AlOsSe2 at its relaxed geometry. Source: Alexandria, functional PBE.

The structure in POSCAR format:
```
AlOsSe2
1.0
-1.793 1.886 6.533
1.793 -1.886 6.533
1.793 1.886 -6.533
Al Os Se
1 1 2
direct
0.000 0.000 0.000
0.500 0.500 0.000
0.135 0.635 0.500
0.865 0.365 0.500
```

Computed properties:
- Energy relative to the elements, uncorrected: -61 kJ/mol of formula units
- Spin magnetization: 0.0000 μB per atom
- Space group: Immm, No. 71

5.
Crystalline AlOs2Se at its relaxed geometry. Source: Alexandria, functional PBE.

The structure in POSCAR format:
```
AlOs2Se
1.0
2.854 0.000 0.000
0.000 3.959 0.000
0.000 0.000 5.394
Al Os Se
1 2 1
direct
0.000 0.000 0.000
0.000 0.000 0.486
0.500 0.500 0.211
0.500 0.500 0.665
```

Computed properties:
- Energy relative to the elements, uncorrected: 94 kJ/mol of formula units
- Spin magnetization: 0.0000 μB per atom
- Space group: Pmm2, No. 25

6.
Crystalline TiAl2OsSe at its relaxed geometry. Source: Alexandria, functional PBE.

The structure in POSCAR format:
```
TiAl2OsSe
1.0
4.989 0.000 0.000
0.000 4.989 0.000
0.000 0.000 4.526
Ti Al Os Se
1 2 1 1
direct
0.000 0.000 0.000
0.000 0.500 0.000
0.500 0.000 0.000
0.000 0.000 0.500
0.500 0.500 0.500
```

Computed properties:
- Energy relative to the elements, uncorrected: 531 kJ/mol of formula units
- Spin magnetization: 0.0000 μB per atom
- Space group: P4/mmm, No. 123

7.
Crystalline AlV2OsSe at its relaxed geometry. Source: Alexandria, functional PBE.

The structure in POSCAR format:
```
AlV2OsSe
1.0
4.644 0.000 0.000
0.000 4.644 0.000
0.000 0.000 4.464
Al V Os Se
1 2 1 1
direct
0.000 0.000 0.000
0.000 0.500 0.000
0.500 0.000 0.000
0.000 0.000 0.500
0.500 0.500 0.500
```

Computed properties:
- Energy relative to the elements, uncorrected: 637 kJ/mol of formula units
- Spin magnetization: 0.8323 μB per atom
- Space group: P4/mmm, No. 123

8.
Crystalline AlSi2Os2 at its relaxed geometry. Source: Alexandria, functional PBE.

The structure in POSCAR format:
```
AlSi2Os2
1.0
7.002 0.000 0.000
0.000 7.002 0.000
0.000 0.000 2.919
Al Si Os
2 4 4
direct
0.000 0.000 0.000
0.500 0.500 0.000
0.146 0.354 0.500
0.354 0.854 0.500
0.646 0.146 0.500
0.854 0.646 0.500
0.150 0.650 0.000
0.350 0.150 0.000
0.650 0.850 0.000
0.850 0.350 0.000
```

Computed properties:
- Energy relative to the elements, uncorrected: -83 kJ/mol of formula units
- Spin magnetization: 0.0000 μB per atom
- Space group: P4/mbm, No. 127

9.
Crystalline Al2SiOs at its relaxed geometry. Source: Alexandria, functional PBE.

The structure in POSCAR format:
```
Al2SiOs
1.0
1.460 0.843 8.158
-1.460 0.843 8.158
0.000 -1.686 8.158
Al Si Os
2 1 1
direct
0.000 0.000 0.000
0.242 0.242 0.242
0.488 0.488 0.488
0.749 0.749 0.749
```

Computed properties:
- Energy relative to the elements, uncorrected: -30 kJ/mol of formula units
- Spin magnetization: 0.0000 μB per atom
- Space group: R3m, No. 160

10.
Crystalline Al2SiOs at its relaxed geometry. Source: Alexandria, functional PBE.

The structure in POSCAR format:
```
Al2SiOs
1.0
-1.544 2.230 4.166
1.544 -2.230 4.166
1.544 2.230 -4.166
Al Si Os
2 1 1
direct
0.000 0.000 0.000
0.736 0.236 0.500
0.248 0.748 0.500
0.478 0.478 0.000
```

Computed properties:
- Energy relative to the elements, uncorrected: -8 kJ/mol of formula units
- Spin magnetization: 0.0000 μB per atom
- Space group: Imm2, No. 44

11.
Crystalline AlSi2Os2 at its relaxed geometry. Source: Alexandria, functional PBE.

The structure in POSCAR format:
```
AlSi2Os2
1.0
7.081 0.000 0.000
0.000 7.081 0.000
0.000 0.000 2.801
Al Si Os
2 4 4
direct
0.000 0.000 0.000
0.500 0.500 0.000
0.135 0.365 0.000
0.365 0.865 0.000
0.635 0.135 0.000
0.865 0.635 0.000
0.160 0.660 0.500
0.340 0.160 0.500
0.660 0.840 0.500
0.840 0.340 0.500
```

Computed properties:
- Energy relative to the elements, uncorrected: -45 kJ/mol of formula units
- Spin magnetization: 0.0000 μB per atom
- Space group: P4/mbm, No. 127

12.
Crystalline AlSiOs2 at its relaxed geometry. Source: Alexandria, functional PBE.

The structure in POSCAR format:
```
AlSiOs2
1.0
2.759 0.000 0.000
0.000 2.759 0.000
0.000 0.000 7.662
Al Si Os
1 1 2
direct
0.000 0.000 0.000
0.500 0.500 0.717
0.000 0.000 0.482
0.500 0.500 0.249
```

Computed properties:
- Energy relative to the elements, uncorrected: 3 kJ/mol of formula units
- Spin magnetization: 0.0000 μB per atom
- Space group: P4mm, No. 99